Pm7Pr2Sm2 | PBE | relaxed

Unit cell a=8.2231 b=8.2231 c=6.1800 alpha=105.61 beta=105.61 gamma=90.76
Positions (direct):
Pm 0.0000 0.0000 0.0000
Pm 0.0572 0.5886 0.8262
Pm 0.4114 0.9428 0.1738
Pm 0.4163 0.4163 0.1965
Pm 0.5837 0.5837 0.8035
Pm 0.5886 0.0572 0.8262
Pm 0.9428 0.4114 0.1738
Pr 0.2306 0.2306 0.5906
Pr 0.7694 0.7694 0.4094
Sm 0.2185 0.7815 0.5000
Sm 0.7815 0.2185 0.5000

Computed properties:
For the density of states at the Fermi level, the calculation gives 1.5060 states/eV per atom. As for the electronic total energy: -4.61 eV per atom. Its total magnetization is 0.00 μB per formula unit. The value obtained for the calculated volume is 386.0 Å³ per cell.

***

PmPrSm14 | PBE | relaxed

Unit cell a=11.7613 b=7.3007 c=7.3007 alpha=60.03 beta=90.00 gamma=90.00
Positions (direct):
Pm 0.0000 0.0000 0.0000
Pr 0.0000 0.5001 0.5001
Sm 0.0000 0.0001 0.5004
Sm 0.0000 0.5004 0.0001
Sm 0.2502 0.1672 0.1672
Sm 0.2514 0.1668 0.6672
Sm 0.2514 0.6672 0.1668
Sm 0.2511 0.6673 0.6673
Sm 0.5000 0.3339 0.3339
Sm 0.5000 0.3341 0.8343
Sm 0.5000 0.8343 0.3341
Sm 0.5000 0.8340 0.8340
Sm 0.7486 0.1668 0.6672
Sm 0.7486 0.6672 0.1668
Sm 0.7489 0.6673 0.6673
Sm 0.7498 0.1672 0.1672

Computed properties:
For the density of states at the Fermi level, the calculation gives 1.0027 states/eV per atom. As for the electronic total energy: -4.72 eV per atom. Its total magnetization is 0.00 μB per formula unit. The value obtained for the calculated volume is 543.1 Å³ per cell.

***

Pm7Pr2Sm | PBE | relaxed

Unit cell a=10.4207 b=10.4207 c=3.5611 alpha=90.00 beta=90.00 gamma=109.23
Positions (direct):
Pm 0.0000 0.0000 0.0000
Pm 0.1173 0.3704 0.0000
Pm 0.1741 0.8259 0.5000
Pm 0.3704 0.1173 0.0000
Pm 0.6296 0.8827 0.0000
Pm 0.8259 0.1741 0.5000
Pm 0.8827 0.6296 0.0000
Pr 0.3281 0.6719 0.0000
Pr 0.6719 0.3281 0.0000
Sm 0.5000 0.5000 0.5000

Computed properties:
For the density of states at the Fermi level, the calculation gives 1.5581 states/eV per atom. As for the electronic total energy: -4.38 eV per atom. Its total magnetization is 0.00 μB per formula unit. The value obtained for the calculated volume is 365.1 Å³ per cell.

***

Pm3Pr3Sm2 | PBE | relaxed

Unit cell a=8.8480 b=8.8480 c=6.1271 alpha=110.18 beta=110.18 gamma=39.05
Positions (direct):
Pm 0.0000 0.0000 0.0000
Pm 0.1328 0.1328 0.5793
Pm 0.8672 0.8672 0.4207
Pr 0.3661 0.3661 0.8113
Pr 0.5000 0.5000 0.5000
Pr 0.6339 0.6339 0.1887
Sm 0.2498 0.2498 0.1823
Sm 0.7502 0.7502 0.8177

Computed properties:
For the density of states at the Fermi level, the calculation gives 1.6284 states/eV per atom. As for the electronic total energy: -4.68 eV per atom. Its total magnetization is 0.00 μB per formula unit. The value obtained for the calculated volume is 281.2 Å³ per cell.

***

PmPr2Sm4 | PBE | relaxed

Unit cell a=7.9238 b=7.9255 c=8.1812 alpha=89.74 beta=89.81 gamma=90.00
Positions (direct):
Pm 0.0000 0.0000 0.0000
Pm 0.0000 0.0000 0.5000
Pr 0.0000 0.5000 0.0000
Pr 0.5000 0.0000 0.0000
Pr 0.5000 0.5000 0.0000
Pr 0.5000 0.5000 0.5000
Sm 0.2469 0.7491 0.2831
Sm 0.2488 0.2486 0.2828
Sm 0.2487 0.2496 0.7166
Sm 0.2507 0.7530 0.7170
Sm 0.7493 0.2470 0.2830
Sm 0.7513 0.7504 0.2834
Sm 0.7512 0.7514 0.7173
Sm 0.7531 0.2509 0.7169

Computed properties:
For the density of states at the Fermi level, the calculation gives 1.7398 states/eV per atom. As for the electronic total energy: -4.45 eV per atom. Its total magnetization is 0.00 μB per formula unit. The value obtained for the calculated volume is 513.8 Å³ per cell.

***

Pm4PrSm15 | PBE | relaxed

Unit cell a=5.1450 b=5.1450 c=25.7090 alpha=90.00 beta=90.00 gamma=90.00
Positions (direct):
Pm 0.0000 0.0000 0.1000
Pm 0.0000 0.0000 0.2998
Pm 0.0000 0.0000 0.7002
Pm 0.0000 0.0000 0.9000
Pr 0.0000 0.0000 0.5000
Sm 0.0000 0.5000 0.0000
Sm 0.0000 0.5000 0.1999
Sm 0.0000 0.5000 0.3995
Sm 0.0000 0.5000 0.6005
Sm 0.0000 0.5000 0.8001
Sm 0.5000 0.0000 0.0000
Sm 0.5000 0.0000 0.1999
Sm 0.5000 0.0000 0.3995
Sm 0.5000 0.0000 0.6005
Sm 0.5000 0.0000 0.8001
Sm 0.5000 0.5000 0.1000
Sm 0.5000 0.5000 0.2996
Sm 0.5000 0.5000 0.5000
Sm 0.5000 0.5000 0.7004
Sm 0.5000 0.5000 0.9000

Computed properties:
For the density of states at the Fermi level, the calculation gives 1.4357 states/eV per atom. As for the electronic total energy: -4.71 eV per atom. Its total magnetization is 0.00 μB per formula unit. The value obtained for the calculated volume is 680.6 Å³ per cell.

***

Pm3PrSm4 | PBE | relaxed

Unit cell a=10.3056 b=7.2985 c=7.2975 alpha=90.00 beta=90.00 gamma=90.00
Positions (direct):
Pm 0.0000 0.0000 0.0000
Pm 0.2500 0.2491 0.2500
Pm 0.2500 0.7509 0.7500
Pm 0.5000 0.0000 0.5000
Pm 0.7500 0.2491 0.2500
Pm 0.7500 0.7509 0.7500
Pr 0.0000 0.5000 0.5000
Pr 0.5000 0.5000 0.0000
Sm 0.0000 0.0000 0.5000
Sm 0.0000 0.5000 0.0000
Sm 0.2500 0.2491 0.7500
Sm 0.2500 0.7509 0.2500
Sm 0.5000 0.0000 0.0000
Sm 0.5000 0.5000 0.5000
Sm 0.7500 0.2491 0.7500
Sm 0.7500 0.7509 0.2500

Computed properties:
For the density of states at the Fermi level, the calculation gives 1.5629 states/eV per atom. As for the electronic total energy: -4.72 eV per atom. Its total magnetization is 0.00 μB per formula unit. The value obtained for the calculated volume is 548.9 Å³ per cell.

***

Pm6Pr4Sm | PBE | relaxed

Unit cell a=8.7300 b=8.7300 c=8.7300 alpha=127.59 beta=127.59 gamma=77.29
Positions (direct):
Pm 0.0000 0.5000 0.5000
Pm 0.0411 0.5862 0.0000
Pm 0.4138 0.4138 0.4549
Pm 0.5000 0.0000 0.5000
Pm 0.5862 0.0411 0.0000
Pm 0.9589 0.9589 0.5451
Pr 0.2456 0.2456 0.6521
Pr 0.4065 0.7544 0.0000
Pr 0.5935 0.5935 0.3479
Pr 0.7544 0.4065 0.0000
Sm 0.0000 0.0000 0.0000

Computed properties:
For the density of states at the Fermi level, the calculation gives 1.1767 states/eV per atom. As for the electronic total energy: -4.38 eV per atom. Its total magnetization is 0.00 μB per formula unit. The value obtained for the calculated volume is 405.3 Å³ per cell.